CsMn3Si: optimized geometry, GGA-PBE.

Calculated values
raw formation energy = 2.5202 eV/atom

Cell and atoms, written as CIF:
```
data_CsMn3Si
_space_group_name_H-M_alt 'P 1'
_space_group_IT_number 1
_space_group_name_Hall 'P 1'
_cell_length_a 5.0264
_cell_length_b 5.0264
_cell_length_c 5.0264
_cell_angle_alpha 90.00
_cell_angle_beta 90.00
_cell_angle_gamma 90.00
loop_
_atom_site_label
_atom_site_fract_x
_atom_site_fract_y
_atom_site_fract_z
Mn1 0.0000 0.0000 0.5000
Mn2 0.0000 0.5000 0.0000
Mn3 0.5000 0.0000 0.0000
Cs1 0.0000 0.0000 0.0000
Si1 0.5000 0.5000 0.5000
```

***

GeTeW2S: optimized geometry, GGA-PBE.

Calculated values
raw formation energy = 2.4282 eV/atom

Cell and atoms, written as CIF:
```
data_GeTeW2S
_space_group_name_H-M_alt 'P 1'
_space_group_IT_number 1
_space_group_name_Hall 'P 1'
_cell_length_a 4.9962
_cell_length_b 5.2969
_cell_length_c 4.9962
_cell_angle_alpha 90.00
_cell_angle_beta 90.00
_cell_angle_gamma 90.00
loop_
_atom_site_label
_atom_site_fract_x
_atom_site_fract_y
_atom_site_fract_z
Ge1 0.0000 0.5000 0.0000
W1 0.0000 0.0000 0.5000
W2 0.5000 0.0000 0.0000
S1 0.5000 0.5000 0.5000
Te1 0.0000 0.0000 0.0000
```

***

Y2PuUAs4: optimized geometry, GGA-PBE.

Calculated values
ΔH_f (0 K) = -1.20 eV/atom

Cell and atoms, written as CIF:
```
data_Y2PuUAs4
_space_group_name_H-M_alt 'P 1'
_space_group_IT_number 1
_space_group_name_Hall 'P 1'
_cell_length_a 4.1023
_cell_length_b 7.1490
_cell_length_c 7.1151
_cell_angle_alpha 109.38
_cell_angle_beta 90.00
_cell_angle_gamma 90.00
loop_
_atom_site_label
_atom_site_fract_x
_atom_site_fract_y
_atom_site_fract_z
As1 0.0000 0.7457 0.2470
As2 0.5000 0.7475 0.7536
As3 0.0000 0.2543 0.7530
As4 0.5000 0.2525 0.2464
Y1 0.0000 0.5000 0.5000
Y2 0.5000 0.0000 0.5000
Pu1 0.0000 0.0000 0.0000
U1 0.5000 0.5000 0.0000
```

***

Zn3C: optimized geometry, GGA-PBE.

Calculated values
ΔH_f (0 K) = 0.90 eV/atom

Cell and atoms, written as CIF:
```
data_Zn3C
_space_group_name_H-M_alt 'P 1'
_space_group_IT_number 1
_space_group_name_Hall 'P 1'
_cell_length_a 4.6154
_cell_length_b 4.6154
_cell_length_c 5.7109
_cell_angle_alpha 60.71
_cell_angle_beta 60.71
_cell_angle_gamma 33.39
loop_
_atom_site_label
_atom_site_fract_x
_atom_site_fract_y
_atom_site_fract_z
Zn1 0.2961 0.2961 0.2217
Zn2 0.5000 0.5000 0.5000
Zn3 0.7039 0.7039 0.7783
C1 0.0000 0.0000 0.0000
```

***

K2AsRh: optimized geometry, GGA-PBE.

Calculated values
ΔH_f (0 K) = 0.30 eV/atom

Cell and atoms, written as CIF:
```
data_K2AsRh
_space_group_name_H-M_alt 'P 1'
_space_group_IT_number 1
_space_group_name_Hall 'P 1'
_cell_length_a 5.2346
_cell_length_b 4.1599
_cell_length_c 4.1599
_cell_angle_alpha 90.00
_cell_angle_beta 90.00
_cell_angle_gamma 90.00
loop_
_atom_site_label
_atom_site_fract_x
_atom_site_fract_y
_atom_site_fract_z
Rh1 0.5000 0.5000 0.0000
K1 0.0000 0.5000 0.5000
K2 0.0000 0.0000 0.0000
As1 0.5000 0.0000 0.5000
```

***

Th2ScSn2: optimized geometry, GGA-PBE.

Calculated values
ΔH_f (0 K) = -0.55 eV/atom

Cell and atoms, written as CIF:
```
data_Th2ScSn2
_space_group_name_H-M_alt 'P 1'
_space_group_IT_number 1
_space_group_name_Hall 'P 1'
_cell_length_a 4.5622
_cell_length_b 7.9424
_cell_length_c 7.9424
_cell_angle_alpha 90.00
_cell_angle_beta 90.00
_cell_angle_gamma 90.00
loop_
_atom_site_label
_atom_site_fract_x
_atom_site_fract_y
_atom_site_fract_z
Sc1 0.0000 0.5000 0.5000
Sc2 0.0000 0.0000 0.0000
Sn1 0.0000 0.8633 0.6367
Sn2 0.0000 0.3633 0.8633
Sn3 0.0000 0.1367 0.3633
Sn4 0.0000 0.6367 0.1367
Th1 0.5000 0.8313 0.3313
Th2 0.5000 0.3313 0.1687
Th3 0.5000 0.1687 0.6687
Th4 0.5000 0.6687 0.8313
```

***

CdIr3C: optimized geometry, GGA-PBE.

Calculated values
ΔH_f (0 K) = 3.75 eV/atom

Cell and atoms, written as CIF:
```
data_CdIr3C
_space_group_name_H-M_alt 'P 1'
_space_group_IT_number 1
_space_group_name_Hall 'P 1'
_cell_length_a 4.8937
_cell_length_b 4.8937
_cell_length_c 4.8937
_cell_angle_alpha 90.00
_cell_angle_beta 90.00
_cell_angle_gamma 90.00
loop_
_atom_site_label
_atom_site_fract_x
_atom_site_fract_y
_atom_site_fract_z
C1 0.5000 0.5000 0.5000
Cd1 0.0000 0.0000 0.0000
Ir1 0.5000 0.0000 0.0000
Ir2 0.0000 0.5000 0.0000
Ir3 0.0000 0.0000 0.5000
```

***

Nb2Tc: optimized geometry, GGA-PBE.

Calculated values
ΔH_f (0 K) = -0.28 eV/atom

Cell and atoms, written as CIF:
```
data_Nb2Tc
_space_group_name_H-M_alt 'P 1'
_space_group_IT_number 1
_space_group_name_Hall 'P 1'
_cell_length_a 3.2165
_cell_length_b 5.4013
_cell_length_c 3.2164
_cell_angle_alpha 72.77
_cell_angle_beta 89.76
_cell_angle_gamma 107.23
loop_
_atom_site_label
_atom_site_fract_x
_atom_site_fract_y
_atom_site_fract_z
Nb1 0.4564 0.4685 0.7861
Nb2 0.7790 0.1134 0.4635
Tc1 0.1178 0.7909 0.1248
```

***

One value per record, in order, for energy: -4.237; -5.130; -8.345; -2.360; -3.245; -6.383; -3.591; -10.444 eV per atom.
One value per record, in order, for magnetization: 10.86; 2.49; 3.20; 0.00; 0.00; 0.00; 2.88; 0.00 μB/f.u..